No. 1
# IrOsW2 (meta-GGA SCAN, single point on PBEsol structure)
# **Energy relative to the elements**: -0.148 eV per atom
# **V**: 14.776 A^3/atom
# **ΔE to the lowest computed polymorph**: 11 meV/atom
# **Electronic total energy**: -282.9 eV per cell
data_IrOsW2
_cell_length_a 2.754
_cell_length_b 3.891
_cell_length_c 5.516
_cell_angle_alpha 90.00
_cell_angle_beta 90.00
_cell_angle_gamma 90.00
_space_group_name_H-M_alt 'P m m m'
_space_group_IT_number 47
loop_
_space_group_symop_operation_xyz
'x,y,z'
'-x,-y,-z'
'-x,-y,z'
'x,y,-z'
'x,-y,-z'
'-x,y,z'
'-x,y,-z'
'x,-y,z'
loop_
_atom_site_label
_atom_site_type_symbol
_atom_site_fract_x
_atom_site_fract_y
_atom_site_fract_z
_atom_site_occupancy
Ir1 Ir 0.000 0.000 0.000 1
Os1 Os 0.000 0.000 0.500 1
W1 W 0.500 0.500 0.252 1

No. 2
# SnHgIO2 (meta-GGA SCAN, single point on PBEsol structure)
# **Uncorrected formation energy**: -2.31 eV/f.u.
# **V**: 20.688 A^3/atom
# **Electronic total energy**: -155.6 eV per cell
data_SnHgIO2
_cell_length_a 4.068
_cell_length_b 4.068
_cell_length_c 6.250
_cell_angle_alpha 90.00
_cell_angle_beta 90.00
_cell_angle_gamma 90.00
_space_group_name_H-M_alt 'P 4/m m m'
_space_group_IT_number 123
_space_group_name_Hall '-P 4 2'
loop_
_atom_site_label
_atom_site_type_symbol
_atom_site_fract_x
_atom_site_fract_y
_atom_site_fract_z
_atom_site_occupancy
Sn1 Sn 0.000 0.000 0.000 1
Hg1 Hg 0.500 0.500 0.500 1
I1 I 0.000 0.000 0.500 1
O1 O 0.000 0.500 0.000 1

No. 3
# ZnAsRuBr2 (meta-GGA SCAN, single point on PBEsol structure)
# **Uncorrected formation energy**: 1.75 eV/f.u.
# **V**: 23.963 A^3/atom
# **ΔE to the lowest computed polymorph**: 0 meV/atom
# **Electronic total energy**: -105.7 eV per cell
data_ZnAsRuBr2
_cell_length_a 5.107
_cell_length_b 5.107
_cell_length_c 4.593
_cell_angle_alpha 90.00
_cell_angle_beta 90.00
_cell_angle_gamma 90.00
_space_group_name_H-M_alt 'P 4/m m m'
_space_group_IT_number 123
_space_group_name_Hall '-P 4 2'
loop_
_atom_site_label
_atom_site_type_symbol
_atom_site_fract_x
_atom_site_fract_y
_atom_site_fract_z
_atom_site_occupancy
Zn1 Zn 0.000 0.000 0.000 1
As1 As 0.500 0.500 0.000 1
Ru1 Ru 0.500 0.500 0.500 1
Br1 Br 0.000 0.500 0.500 1

No. 4
# Cu2HgO (meta-GGA SCAN, single point on PBEsol structure)
# **Uncorrected formation energy**: -1.38 eV/f.u.
# **V**: 16.746 A^3/atom
# **Electronic total energy**: -424.7 eV per cell
data_Cu2HgO
_cell_length_a 5.039
_cell_length_b 5.039
_cell_length_c 10.552
_cell_angle_alpha 90.00
_cell_angle_beta 90.00
_cell_angle_gamma 90.00
_space_group_name_H-M_alt 'I 41/a m d'
_space_group_IT_number 141
loop_
_space_group_symop_operation_xyz
'x,y,z'
'-x,-y,-z'
'-y+1/4,x+3/4,z+1/4'
'y+1/4,-x+3/4,-z+1/4'
'-x+1/2,-y,z+1/2'
'x+1/2,y,-z+1/2'
'y+1/4,-x+1/4,z+3/4'
'-y+1/4,x+1/4,-z+3/4'
'x,-y,-z'
'-x,y,z'
'-y+1/4,-x+1/4,-z+3/4'
'y+1/4,x+1/4,z+3/4'
'-x+1/2,y,-z+1/2'
'x+1/2,-y,z+1/2'
'y+1/4,x+3/4,-z+1/4'
'-y+1/4,-x+3/4,z+1/4'
'x+1/2,y+1/2,z+1/2'
'-x+1/2,-y+1/2,-z+1/2'
'-y+3/4,x+1/4,z+3/4'
'y+3/4,-x+1/4,-z+3/4'
'-x,-y+1/2,z'
'x,y+1/2,-z'
'y+3/4,-x+3/4,z+1/4'
'-y+3/4,x+3/4,-z+1/4'
'x+1/2,-y+1/2,-z+1/2'
'-x+1/2,y+1/2,z+1/2'
'-y+3/4,-x+3/4,-z+1/4'
'y+3/4,x+3/4,z+1/4'
'-x,y+1/2,-z'
'x,-y+1/2,z'
'y+3/4,x+1/4,-z+3/4'
'-y+3/4,-x+1/4,z+3/4'
loop_
_atom_site_label
_atom_site_type_symbol
_atom_site_fract_x
_atom_site_fract_y
_atom_site_fract_z
_atom_site_occupancy
Cu1 Cu 0.000 0.000 0.000 1
Hg1 Hg 0.000 0.250 0.375 1
O1 O 0.000 0.250 0.875 1

No. 5
# LiZr (meta-GGA SCAN, single point on PBEsol structure)
# **Energy relative to the elements**: 0.104 eV per atom
# **V**: 20.886 A^3/atom
# **ΔE to the lowest computed polymorph**: 0 meV/atom
# **Electronic total energy**: -65.8 eV per cell
data_LiZr
_cell_length_a 3.015
_cell_length_b 3.015
_cell_length_c 9.192
_cell_angle_alpha 90.00
_cell_angle_beta 90.00
_cell_angle_gamma 90.00
_space_group_name_H-M_alt 'P 4/n m m'
_space_group_IT_number 129
loop_
_space_group_symop_operation_xyz
'x,y,z'
'-x,-y,-z'
'-y+1/2,x,z'
'y+1/2,-x,-z'
'-x+1/2,-y+1/2,z'
'x+1/2,y+1/2,-z'
'y,-x+1/2,z'
'-y,x+1/2,-z'
'x+1/2,-y,-z'
'-x+1/2,y,z'
'-y,-x,-z'
'y,x,z'
'-x,y+1/2,-z'
'x,-y+1/2,z'
'y+1/2,x+1/2,-z'
'-y+1/2,-x+1/2,z'
loop_
_atom_site_label
_atom_site_type_symbol
_atom_site_fract_x
_atom_site_fract_y
_atom_site_fract_z
_atom_site_occupancy
Li1 Li 0.250 0.250 0.114 1
Zr1 Zr 0.250 0.250 0.620 1

No. 6
# YScTl2 (meta-GGA SCAN, single point on PBEsol structure)
# **Energy relative to the elements**: -0.447 eV per atom
# **V**: 24.722 A^3/atom
# **Electronic total energy**: -377.2 eV per cell
data_YScTl2
_cell_length_a 3.777
_cell_length_b 4.854
_cell_length_c 10.786
_cell_angle_alpha 90.00
_cell_angle_beta 90.00
_cell_angle_gamma 90.00
_space_group_name_H-M_alt 'I m m 2'
_space_group_IT_number 44
loop_
_space_group_symop_operation_xyz
'x,y,z'
'-x,-y,z'
'-x,y,z'
'x,-y,z'
'x+1/2,y+1/2,z+1/2'
'-x+1/2,-y+1/2,z+1/2'
'-x+1/2,y+1/2,z+1/2'
'x+1/2,-y+1/2,z+1/2'
loop_
_atom_site_label
_atom_site_type_symbol
_atom_site_fract_x
_atom_site_fract_y
_atom_site_fract_z
_atom_site_occupancy
Y1 Y 0.000 0.000 0.000 1
Sc1 Sc 0.000 0.500 0.755 1
Tl1 Tl 0.000 0.000 0.513 1
Tl2 Tl 0.000 0.500 0.245 1

No. 7
# Ho2Fe17H3 (meta-GGA SCAN, single point on PBEsol structure)
# **V**: 10.753 A^3/atom
# **Electronic total energy**: -834.6 eV per cell
data_Ho2Fe17H3
_cell_length_a 8.2800
_cell_length_b 8.2800
_cell_length_c 7.9686
_cell_angle_alpha 90.00
_cell_angle_beta 90.00
_cell_angle_gamma 120.00
_space_group_name_H-M_alt 'P 63/m m c'
_space_group_IT_number 194
_space_group_name_Hall '-P 6c 2c'
loop_
_atom_site_label
_atom_site_type_symbol
_atom_site_fract_x
_atom_site_fract_y
_atom_site_fract_z
_atom_site_occupancy
Ho1 Ho 0.0000 0.0000 0.2500 1
Ho2 Ho 0.3333 0.6667 0.2500 1
Fe1 Fe 0.0000 0.5000 0.0000 1
Fe2 Fe 0.0503 0.3782 0.7500 1
Fe3 Fe 0.1665 0.3329 0.0151 1
Fe4 Fe 0.3333 0.6667 0.6064 1
H1 H 0.1649 0.3299 0.2500 1

No. 8
# Tl5Rh (meta-GGA SCAN, single point on PBEsol structure)
# **Energy relative to the elements**: 0.095 eV per atom
# **V**: 24.720 A^3/atom
# **Electronic total energy**: -790.0 eV per cell
data_Tl5Rh
_cell_length_a 11.715
_cell_length_b 3.239
_cell_length_c 8.472
_cell_angle_alpha 90.00
_cell_angle_beta 112.66
_cell_angle_gamma 90.00
_space_group_name_H-M_alt 'C 1 2/m 1'
_space_group_IT_number 12
loop_
_space_group_symop_operation_xyz
'x,y,z'
'-x,-y,-z'
'-x,y,-z'
'x,-y,z'
'x+1/2,y+1/2,z'
'-x+1/2,-y+1/2,-z'
'-x+1/2,y+1/2,-z'
'x+1/2,-y+1/2,z'
loop_
_atom_site_label
_atom_site_type_symbol
_atom_site_fract_x
_atom_site_fract_y
_atom_site_fract_z
_atom_site_occupancy
Tl1 Tl 0.000 0.000 0.000 1
Tl2 Tl 0.133 0.500 0.362 1
Tl3 Tl 0.173 0.500 0.785 1
Rh1 Rh 0.000 0.000 0.500 1